[1]
TbAsSe4 | GGA-PBE | relaxed

Computed properties:
Raw formation energy   -707 meV/atom

a b c (Å): 5.8606 7.3699 9.5068
angles (deg): 90.00 90.00 116.72
Last column: nearest neighbours and their distance in Å.
Fractional positions:
As 0.8810 0.0743 0.7500  2 Se 2.33-2.43
Se 0.7043 0.8926 0.2500  1 As 2.33
Se 0.1432 0.6711 0.0606  1 Se 2.59, 1 As 2.65, 1 Tb 2.89
Se 0.8568 0.3289 0.5606  1 Se 2.59, 1 As 2.65, 1 Tb 2.89
Se 0.3975 0.2882 0.2500  1 As 2.43
Se 0.1432 0.6711 0.4394  1 Se 2.59, 1 As 2.65, 1 Tb 2.89
Se 0.8568 0.3289 0.9394  1 Se 2.59, 1 As 2.65, 1 Tb 2.89
Se 0.2957 0.1074 0.7500  1 As 2.33
Tb 0.0651 0.6722 0.7500  7 Se 2.85-3.03
Tb 0.9349 0.3278 0.2500  7 Se 2.85-3.03
As 0.1190 0.9257 0.2500  2 Se 2.33-2.43
Se 0.6025 0.7118 0.7500  1 As 2.43

=====

[2]
K3Ce3AuS8 | GGA-PBE | relaxed

Computed properties:
Raw formation energy   -1427 meV/atom

a b c (Å): 8.4871 8.0560 8.5662
angles (deg): 116.03 90.00 121.79
Last column: nearest neighbours and their distance in Å.
Fractional positions:
K 0.5000 0.5000 0.0000  6 S 3.23-3.31
K 0.0000 0.0000 0.0000  6 S 3.15-3.34
Au 0.0000 0.0000 0.5000  2 S 2.41
S 0.2059 0.4118 0.6737  1 Au 2.41
Ce 0.5000 0.0000 0.5000  6 S 2.72-2.78
S 0.2629 0.5259 0.2937  3 Ce 2.78-2.83
S 0.7941 0.5882 0.3263  1 Au 2.41
S 0.7371 0.4741 0.7063  3 Ce 2.78-2.83
K 0.0000 0.5000 0.0000  6 S 3.23-3.31
S 0.3113 0.0494 0.2853  2 Ce 2.67-2.72
S 0.7381 0.0494 0.2853  2 Ce 2.67-2.72
Ce 0.0000 0.5000 0.5000  6 S 2.67-2.83
S 0.2619 0.9506 0.7147  2 Ce 2.67-2.72
Ce 0.5000 0.5000 0.5000  6 S 2.67-2.83
S 0.6887 0.9506 0.7147  2 Ce 2.67-2.72

=====

[3]
SrErPd4 | GGA-PBE | relaxed

Computed properties:
Formation energy   -0.672 eV per atom

a b c (Å): 5.5097 5.5097 5.5097
angles (deg): 60.00 60.00 60.00
Last column: nearest neighbours and their distance in Å.
Fractional positions:
Pd 0.1264 0.6245 0.6245  6 Pd 2.74-2.77
Pd 0.6245 0.1264 0.6245  6 Pd 2.74-2.77
Pd 0.6245 0.6245 0.6245  6 Pd 2.74-2.77
Er 0.2500 0.2500 0.2500  12 Pd 3.23, 4 Sr 3.37
Pd 0.6245 0.6245 0.1264  6 Pd 2.74-2.77
Sr 0.0000 0.0000 0.0000  12 Pd 3.23, 4 Er 3.37